1.
## Tb4NdYS8 (PBE-GGA)

Data for an optimized crystal structure of Tb4NdYS8.

abc: 8.124 8.124 8.124
angles: 60.03 60.03 60.03
Sites, in units of the cell vectors:
Tb (0.000, 0.000, 0.000)
Tb (0.374, 0.374, 0.877)
Tb (0.374, 0.877, 0.374)
Tb (0.877, 0.374, 0.374)
Nd (0.750, 0.750, 0.750)
Y (0.375, 0.375, 0.375)
S (0.132, 0.132, 0.132)
S (0.133, 0.133, 0.603)
S (0.133, 0.603, 0.133)
S (0.157, 0.614, 0.614)
S (0.603, 0.133, 0.133)
S (0.614, 0.157, 0.614)
S (0.614, 0.614, 0.157)
S (0.614, 0.614, 0.614)

Computed properties:
Space-group type   R3m, No. 160
E_form (uncorrected)   -186.46 kJ per mole of atoms
Mass density   4.9 g/cm³



2.
## NiPb5 (PBE-GGA)

Data for an optimized crystal structure of NiPb5.

abc: 6.413 6.413 6.413
angles: 60.00 60.00 60.00
Sites, in units of the cell vectors:
Ni (0.000, 0.000, 0.000)
Pb (0.375, 0.375, 0.375)
Pb (0.375, 0.375, 0.876)
Pb (0.375, 0.876, 0.375)
Pb (0.750, 0.750, 0.750)
Pb (0.876, 0.375, 0.375)

Computed properties:
Space-group type   F-43m, No. 216
Mass density   9.7 g/cm³
Formation energy from the elements   0.551 eV per atom



3.
## Cd4FeCu (PBE-GGA)

Data for an optimized crystal structure of Cd4FeCu.

abc: 5.562 5.562 5.562
angles: 60.00 60.00 60.00
Sites, in units of the cell vectors:
Cd (0.125, 0.125, 0.125)
Cd (0.125, 0.125, 0.625)
Cd (0.125, 0.625, 0.125)
Cd (0.625, 0.125, 0.125)
Fe (0.500, 0.500, 0.500)
Cu (0.750, 0.750, 0.750)

Computed properties:
Space-group type   F-43m, No. 216
Mass density   7.8 g/cm³
Formation energy from the elements   0.567 eV per atom



4.
## In2SbCl6 (PBE-GGA)

Data for an optimized crystal structure of In2SbCl6.

abc: 7.068 7.478 13.451
angles: 90.00 119.86 90.00
Sites, in units of the cell vectors:
In (0.189, 0.020, 0.197)
In (0.189, 0.480, 0.697)
In (0.811, 0.520, 0.303)
In (0.811, 0.980, 0.803)
Sb (0.500, 0.000, 0.000)
Sb (0.500, 0.500, 0.500)
Cl (0.171, 0.195, 0.989)
Cl (0.171, 0.305, 0.489)
Cl (0.202, 0.730, 0.350)
Cl (0.202, 0.770, 0.850)
Cl (0.485, 0.187, 0.824)
Cl (0.485, 0.313, 0.324)
Cl (0.515, 0.687, 0.676)
Cl (0.515, 0.813, 0.176)
Cl (0.798, 0.230, 0.150)
Cl (0.798, 0.270, 0.650)
Cl (0.829, 0.695, 0.511)
Cl (0.829, 0.805, 0.011)

Computed properties:
Space-group type   P2_1/c, No. 14
E_form (uncorrected)   -78.32 kJ per mole of atoms
Mass density   3.0 g/cm³



5.
## NaTcPdRu2 (PBE-GGA)

Data for an optimized crystal structure of NaTcPdRu2.

abc: 4.434 4.434 4.476
angles: 90.00 90.00 90.00
Sites, in units of the cell vectors:
Na (0.000, 0.000, 0.000)
Tc (0.000, 0.000, 0.500)
Pd (0.500, 0.500, 0.500)
Ru (0.000, 0.500, 0.000)
Ru (0.500, 0.000, 0.000)

Computed properties:
Space-group type   P4/mmm, No. 123
Mass density   8.1 g/cm³
Formation energy from the elements   2.398 eV per atom



6.
## Ba2MnSi (PBE-GGA)

Data for an optimized crystal structure of Ba2MnSi.

abc: 6.652 6.652 6.652
angles: 143.79 132.08 61.51
Sites, in units of the cell vectors:
Ba (0.000, 0.000, 0.000)
Ba (0.702, 0.202, 0.500)
Mn (0.304, 0.804, 0.500)
Si (0.416, 0.416, 0.000)

Computed properties:
Space-group type   Imm2, No. 44
E_form (uncorrected)   5.73 kJ per mole of atoms
Mass density   4.7 g/cm³



7.
## Tb2PmEr4Th (PBE-GGA)

Data for an optimized crystal structure of Tb2PmEr4Th.

abc: 5.041 5.054 9.927
angles: 90.00 90.04 90.00
Sites, in units of the cell vectors:
Tb (0.000, 0.000, 0.000)
Tb (0.500, 0.500, 0.500)
Pm (0.000, 0.000, 0.500)
Er (0.000, 0.500, 0.247)
Er (0.000, 0.500, 0.753)
Er (0.500, 0.000, 0.246)
Er (0.500, 0.000, 0.754)
Th (0.500, 0.500, 0.000)

Computed properties:
Space-group type   P2/m, No. 10
Mass density   9.0 g/cm³
Formation energy from the elements   0.028 eV per atom



8.
## KO2F (PBE-GGA)

Data for an optimized crystal structure of KO2F.

abc: 4.420 4.420 4.420
angles: 60.00 60.00 60.00
Sites, in units of the cell vectors:
K (0.000, 0.000, 0.000)
O (0.250, 0.250, 0.250)
O (0.750, 0.750, 0.750)
F (0.500, 0.500, 0.500)

Computed properties:
Space-group type   Fm-3m, No. 225
Distance to the lowest polymorph of the same formula   1.414 eV/atom
E_form (uncorrected)   13.20 kJ per mole of atoms
Mass density   2.5 g/cm³



9.
## GdPuGe (PBE-GGA)

Data for an optimized crystal structure of GdPuGe.

abc: 4.906 4.906 3.653
angles: 90.00 90.00 120.00
Sites, in units of the cell vectors:
Gd (0.000, 0.000, 0.000)
Pu (0.333, 0.667, 0.439)
Ge (0.667, 0.333, 0.723)

Computed properties:
Space-group type   P3m1, No. 156
Distance to the lowest polymorph of the same formula   0.067 eV/atom
Mass density   10.3 g/cm³
Formation energy from the elements   -0.244 eV per atom



10.
## Er2TmAu (PBE-GGA)

Data for an optimized crystal structure of Er2TmAu.

abc: 6.862 9.589 6.625
angles: 90.00 90.00 90.00
Sites, in units of the cell vectors:
Er (0.200, 0.054, 0.199)
Er (0.200, 0.446, 0.199)
Er (0.300, 0.554, 0.699)
Er (0.300, 0.946, 0.699)
Er (0.700, 0.054, 0.301)
Er (0.700, 0.446, 0.301)
Er (0.800, 0.554, 0.801)
Er (0.800, 0.946, 0.801)
Tm (0.014, 0.250, 0.612)
Tm (0.486, 0.750, 0.112)
Tm (0.514, 0.250, 0.888)
Tm (0.986, 0.750, 0.388)
Au (0.081, 0.750, 0.967)
Au (0.419, 0.250, 0.467)
Au (0.581, 0.750, 0.533)
Au (0.919, 0.250, 0.033)

Computed properties:
Space-group type   Pnma, No. 62
Distance to the lowest polymorph of the same formula   0.000 eV/atom
Mass density   10.7 g/cm³
Formation energy from the elements   -0.464 eV per atom



11.
## Sc2In2Co (PBE-GGA)

Data for an optimized crystal structure of Sc2In2Co.

abc: 7.014 7.014 4.277
angles: 90.00 90.00 90.00
Sites, in units of the cell vectors:
Sc (0.166, 0.334, 0.000)
Sc (0.334, 0.834, 0.000)
Sc (0.666, 0.166, 0.000)
Sc (0.834, 0.666, 0.000)
In (0.144, 0.644, 0.500)
In (0.356, 0.144, 0.500)
In (0.644, 0.856, 0.500)
In (0.856, 0.356, 0.500)
Co (0.000, 0.000, 0.500)
Co (0.500, 0.500, 0.500)

Computed properties:
Space-group type   P4/mbm, No. 127
Distance to the lowest polymorph of the same formula   0.000 eV/atom
Mass density   6.0 g/cm³
Formation energy from the elements   -0.101 eV per atom



12.
## AcThGe3 (PBE-GGA)

Data for an optimized crystal structure of AcThGe3.

abc: 14.099 14.099 4.187
angles: 90.00 90.00 161.71
Sites, in units of the cell vectors:
Ac (0.073, 0.927, 0.750)
Ac (0.927, 0.073, 0.250)
Th (0.204, 0.796, 0.250)
Th (0.796, 0.204, 0.750)
Ge (0.314, 0.686, 0.250)
Ge (0.375, 0.625, 0.750)
Ge (0.473, 0.527, 0.750)
Ge (0.527, 0.473, 0.250)
Ge (0.625, 0.375, 0.250)
Ge (0.686, 0.314, 0.750)

Computed properties:
Space-group type   Cmcm, No. 63
Mass density   8.6 g/cm³
Formation energy from the elements   -0.647 eV per atom